Computed, not measured: an optimized crystal structure of Tl2BPAu at the PBE-GGA level of DFT.

Structure (POSCAR):
```
Tl2BPAu
1.0
6.0290 0.0000 0.0000
0.0000 3.4434 0.0000
0.0000 0.0000 6.0290
Au Tl B P
1 2 1 1
Direct
0.5000 0.5000 0.5000
0.5000 0.0000 0.0000
0.0000 0.0000 0.5000
0.0000 0.5000 0.0000
0.0000 0.0000 0.0000
```

Computed properties:
E_form	12.57	kcal/mol of atoms



Computed, not measured: an optimized crystal structure of Pa2BAu at the PBE-GGA level of DFT.

Structure (POSCAR):
```
Pa2BAu
1.0
3.3208 0.0000 0.0000
1.6604 2.8759 0.0000
1.6604 0.9586 9.0711
B Pa Au
1 2 1
Direct
0.5000 0.5000 0.5000
0.1099 0.1099 0.6702
0.8901 0.8901 0.3298
0.0000 0.0000 0.0000
```

Computed properties:
E_form	3.13	kcal/mol of atoms



Computed, not measured: an optimized crystal structure of BPbAu at the PBE-GGA level of DFT.

Structure (POSCAR):
```
BPbAu
1.0
3.1990 -1.8469 0.0000
0.0000 3.6938 0.0000
0.0000 0.0000 10.9267
Pb Au B
2 2 2
Direct
0.0000 0.0000 0.0000
0.0000 0.0000 0.5000
0.3333 0.6667 0.2500
0.6667 0.3333 0.7500
0.0000 0.0000 0.7500
0.0000 0.0000 0.2500
```

Computed properties:
E_form	14.88	kcal/mol of atoms



Number 1: DOS at the Fermi energy 2.26 states/eV/f.u.. Number 2: DOS at the Fermi energy 6.22 states/eV/f.u.. Number 3: DOS at the Fermi energy 1.60 states/eV/f.u..